Entry 1:
The following is a DFT calculation (meta-GGA SCAN) of FeP2Cl at its PBEsol-relaxed geometry.

Properties
Size of the total moment in μB per formula unit: 3.6
Energy relative to the elements, uncorrected in eV per atom: 0.3184
Energy above the most stable polymorph in this dataset in eV/f.u.: 0.99

a = 3.302 Å, b = 3.302 Å, c = 6.463 Å
α = 104.80°, β = 104.80°, γ = 90.00°
Positions (direct):
Fe 0.000 0.000 0.000
Cl 0.500 0.500 0.000
P 0.750 0.250 0.500
P 0.250 0.750 0.500

---

Entry 2:
The following is a DFT calculation (meta-GGA SCAN) of FePCl2 at its PBEsol-relaxed geometry.

Properties
Size of the total moment in μB per formula unit: 2.9
Energy relative to the elements, uncorrected in eV per atom: 0.1754
Energy above the most stable polymorph in this dataset in eV/f.u.: 0.00

a = 3.006 Å, b = 3.130 Å, c = 8.641 Å
α = 90.00°, β = 90.00°, γ = 118.70°
Positions (direct):
Cl 0.000 0.000 0.300
Cl 0.000 0.000 0.700
P 0.500 0.000 0.000
Fe 0.500 0.000 0.500

---

Entry 3:
The following is a DFT calculation (meta-GGA SCAN) of FeP2Cl at its PBEsol-relaxed geometry.

Properties
Size of the total moment in μB per formula unit: 3.6
Energy relative to the elements, uncorrected in eV per atom: 0.3455
Energy above the most stable polymorph in this dataset in eV/f.u.: 1.10

a = 3.308 Å, b = 3.308 Å, c = 6.044 Å
α = 90.00°, β = 90.00°, γ = 90.00°
Positions (direct):
Cl 0.500 0.500 0.500
Fe 0.000 0.000 0.500
P 0.500 0.000 0.000
P 0.000 0.500 0.000

---

Entry 4:
The following is a DFT calculation (meta-GGA SCAN) of FeP2Cl at its PBEsol-relaxed geometry.

Properties
Size of the total moment in μB per formula unit: 0.0
Energy relative to the elements, uncorrected in eV per atom: 0.1817
Energy above the most stable polymorph in this dataset in eV/f.u.: 0.44

a = 3.252 Å, b = 3.252 Å, c = 6.805 Å
α = 76.17°, β = 76.17°, γ = 60.00°
Positions (direct):
P 0.273 0.273 0.180
P 0.727 0.727 0.820
Fe 0.000 0.000 0.000
Cl 0.500 0.500 0.500

---

Entry 5:
The following is a DFT calculation (meta-GGA SCAN) of FePCl2 at its PBEsol-relaxed geometry.

Properties
Size of the total moment in μB per formula unit: 3.4
Energy relative to the elements, uncorrected in eV per atom: 0.2466
Energy above the most stable polymorph in this dataset in eV/f.u.: 0.28

a = 4.309 Å, b = 4.309 Å, c = 4.737 Å
α = 113.83°, β = 113.83°, γ = 96.40°
Positions (direct):
P 0.000 0.000 0.000
Cl 0.000 0.500 0.500
Cl 0.500 0.000 0.500
Fe 0.500 0.500 0.000

---

Entry 6:
The following is a DFT calculation (meta-GGA SCAN) of FePCl2 at its PBEsol-relaxed geometry.

Properties
Size of the total moment in μB per formula unit: 3.2
Energy relative to the elements, uncorrected in eV per atom: 0.2826
Energy above the most stable polymorph in this dataset in eV/f.u.: 0.43

a = 3.872 Å, b = 4.207 Å, c = 4.207 Å
α = 95.44°, β = 90.00°, γ = 90.00°
Positions (direct):
P 0.500 0.000 0.000
Cl 0.000 0.728 0.272
Cl 0.000 0.272 0.728
Fe 0.500 0.500 0.500

---

Entry 7:
The following is a DFT calculation (meta-GGA SCAN) of FePPbCl2 at its PBEsol-relaxed geometry.

Properties
Size of the total moment in μB per formula unit: 3.7
Energy relative to the elements, uncorrected in eV per atom: -0.2171

a = 4.617 Å, b = 4.617 Å, c = 4.726 Å
α = 90.00°, β = 90.00°, γ = 90.00°
Positions (direct):
Fe 0.000 0.000 0.000
Cl 0.500 0.000 0.000
Cl 0.000 0.500 0.000
P 0.000 0.000 0.500
Pb 0.500 0.500 0.500

---

Entry 8:
The following is a DFT calculation (meta-GGA SCAN) of FeP2PdCl at its PBEsol-relaxed geometry.

Properties
Size of the total moment in μB per formula unit: 1.5
Energy relative to the elements, uncorrected in eV per atom: 0.4893

a = 4.165 Å, b = 4.165 Å, c = 4.776 Å
α = 90.00°, β = 90.00°, γ = 90.00°
Positions (direct):
Fe 0.000 0.000 0.000
Cl 0.000 0.000 0.500
P 0.000 0.500 0.000
P 0.500 0.000 0.000
Pd 0.500 0.500 0.500

---

Entry 9:
The following is a DFT calculation (meta-GGA SCAN) of FePSCl2 at its PBEsol-relaxed geometry.

Properties
Size of the total moment in μB per formula unit: 4.0
Energy relative to the elements, uncorrected in eV per atom: 0.8158
Energy above the most stable polymorph in this dataset in eV/f.u.: 2.21

a = 4.563 Å, b = 4.563 Å, c = 4.770 Å
α = 90.00°, β = 90.00°, γ = 90.00°
Positions (direct):
Fe 0.500 0.500 0.500
Cl 0.000 0.500 0.000
Cl 0.500 0.000 0.000
P 0.000 0.000 0.500
S 0.000 0.000 0.000

---

Entry 10:
The following is a DFT calculation (meta-GGA SCAN) of FePSCl2 at its PBEsol-relaxed geometry.

Properties
Size of the total moment in μB per formula unit: 2.6
Energy relative to the elements, uncorrected in eV per atom: 0.3746
Energy above the most stable polymorph in this dataset in eV/f.u.: 0.00

a = 4.280 Å, b = 4.280 Å, c = 4.786 Å
α = 90.00°, β = 90.00°, γ = 90.00°
Positions (direct):
Fe 0.000 0.000 0.000
Cl 0.500 0.000 0.000
Cl 0.000 0.500 0.000
S 0.500 0.500 0.500
P 0.000 0.000 0.500

---

Entry 11:
The following is a DFT calculation (meta-GGA SCAN) of FeSnP2Cl at its PBEsol-relaxed geometry.

Properties
Size of the total moment in μB per formula unit: 0.0
Energy relative to the elements, uncorrected in eV per atom: 0.3401

a = 4.270 Å, b = 4.270 Å, c = 5.036 Å
α = 90.00°, β = 90.00°, γ = 90.00°
Positions (direct):
Sn 0.500 0.500 0.500
P 0.000 0.500 0.000
P 0.500 0.000 0.000
Cl 0.000 0.000 0.500
Fe 0.000 0.000 0.000

---

Entry 12:
The following is a DFT calculation (meta-GGA SCAN) of TaFeP2Cl at its PBEsol-relaxed geometry.

Properties
Size of the total moment in μB per formula unit: 3.5
Energy relative to the elements, uncorrected in eV per atom: 0.4575

a = 4.674 Å, b = 4.794 Å, c = 4.794 Å
α = 90.00°, β = 90.00°, γ = 90.00°
Positions (direct):
Cl 0.500 0.000 0.000
Fe 0.500 0.500 0.500
Ta 0.000 0.000 0.000
P 0.000 0.000 0.500
P 0.000 0.500 0.000

---

Entry 13:
The following is a DFT calculation (meta-GGA SCAN) of TiFeP2Cl at its PBEsol-relaxed geometry.

Properties
Size of the total moment in μB per formula unit: 3.7
Energy relative to the elements, uncorrected in eV per atom: 0.2332

a = 4.557 Å, b = 4.684 Å, c = 4.684 Å
α = 90.00°, β = 90.00°, γ = 90.00°
Positions (direct):
Fe 0.500 0.500 0.500
Ti 0.000 0.000 0.000
P 0.000 0.500 0.000
P 0.000 0.000 0.500
Cl 0.500 0.000 0.000

---

Entry 14:
The following is a DFT calculation (meta-GGA SCAN) of FeP2WCl at its PBEsol-relaxed geometry.

Properties
Size of the total moment in μB per formula unit: 3.2
Energy relative to the elements, uncorrected in eV per atom: 1.2248

a = 4.234 Å, b = 4.234 Å, c = 4.427 Å
α = 90.00°, β = 90.00°, γ = 90.00°
Positions (direct):
P 0.000 0.500 0.000
P 0.500 0.000 0.000
Cl 0.000 0.000 0.500
Fe 0.000 0.000 0.000
W 0.500 0.500 0.500

---

Entry 15:
The following is a DFT calculation (meta-GGA SCAN) of FePb2Cl at its PBEsol-relaxed geometry.

Properties
Size of the total moment in μB per formula unit: 2.6
Energy relative to the elements, uncorrected in eV per atom: 0.3163
Energy above the most stable polymorph in this dataset in eV/f.u.: 1.50

a = 5.033 Å, b = 5.033 Å, c = 5.033 Å
α = 60.00°, β = 60.00°, γ = 60.00°
Positions (direct):
Fe 0.500 0.500 0.500
Pb 0.250 0.250 0.250
Pb 0.750 0.750 0.750
Cl 0.000 0.000 0.000

---

Entry 16:
The following is a DFT calculation (meta-GGA SCAN) of FePbCl2 at its PBEsol-relaxed geometry.

Properties
Size of the total moment in μB per formula unit: 3.7
Energy relative to the elements, uncorrected in eV per atom: -0.0817
Energy above the most stable polymorph in this dataset in eV/f.u.: 1.52

a = 4.612 Å, b = 5.129 Å, c = 4.612 Å
α = 63.28°, β = 90.00°, γ = 116.72°
Positions (direct):
Cl 0.250 0.500 0.250
Cl 0.750 0.500 0.750
Pb 0.000 0.000 0.000
Fe 0.500 0.000 0.500

---

Entry 17:
The following is a DFT calculation (meta-GGA SCAN) of FePbCl at its PBEsol-relaxed geometry.

Properties
Size of the total moment in μB per formula unit: 3.1
Energy relative to the elements, uncorrected in eV per atom: -0.0925

a = 3.071 Å, b = 3.071 Å, c = 7.017 Å
α = 102.64°, β = 102.64°, γ = 90.00°
Positions (direct):
Cl 0.050 0.050 0.099
Fe 0.645 0.645 0.289
Pb 0.306 0.306 0.611

---

Entry 18:
The following is a DFT calculation (meta-GGA SCAN) of FePbCl2 at its PBEsol-relaxed geometry.

Properties
Size of the total moment in μB per formula unit: 3.5
Energy relative to the elements, uncorrected in eV per atom: -0.2850
Energy above the most stable polymorph in this dataset in eV/f.u.: 0.71

a = 3.259 Å, b = 3.259 Å, c = 7.712 Å
α = 90.00°, β = 90.00°, γ = 90.00°
Positions (direct):
Pb 0.500 0.500 0.734
Fe 0.000 0.000 0.454
Cl 0.000 0.000 0.983
Cl 0.500 0.500 0.329

---

Entry 19:
The following is a DFT calculation (meta-GGA SCAN) of FePb2Cl at its PBEsol-relaxed geometry.

Properties
Size of the total moment in μB per formula unit: 2.7
Energy relative to the elements, uncorrected in eV per atom: -0.0593
Energy above the most stable polymorph in this dataset in eV/f.u.: 0.00

a = 3.215 Å, b = 5.930 Å, c = 5.578 Å
α = 115.90°, β = 106.75°, γ = 90.00°
Positions (direct):
Fe 0.798 0.155 0.597
Cl 0.413 0.467 0.825
Pb 0.223 0.741 0.446
Pb 0.066 0.137 0.132

---

Entry 20:
The following is a DFT calculation (meta-GGA SCAN) of FePbCl2 at its PBEsol-relaxed geometry.

Properties
Size of the total moment in μB per formula unit: 3.5
Energy relative to the elements, uncorrected in eV per atom: -0.1230
Energy above the most stable polymorph in this dataset in eV/f.u.: 1.35

a = 3.281 Å, b = 4.512 Å, c = 5.680 Å
α = 90.00°, β = 90.00°, γ = 90.00°
Positions (direct):
Pb 0.000 0.500 0.500
Fe 0.500 0.500 0.000
Cl 0.500 0.000 0.500
Cl 0.000 0.000 0.000